The following is a GGA-PBE calculation of crystalline InFe2Br at its relaxed geometry, from the Alexandria database.

Results
Energy relative to the elements, uncorrected (eV/atom): 0.22
Relative energy among the computed polymorphs (meV per atom): 22
E (eV/f.u.): -20.45
Total magnetization (Bohr magnetons per cell): 5.670

Cell and atoms, written as CIF:
```
data_InFe2Br
_chemical_formula_sum 'In1 Fe2 Br1'
_cell_length_a 3.1964
_cell_length_b 3.1964
_cell_length_c 7.8839
_cell_angle_alpha 90.00
_cell_angle_beta 90.00
_cell_angle_gamma 90.00
_space_group_name_H-M_alt 'P 1'
_space_group_IT_number 1
_space_group_name_Hall 'P 1'
loop_
_atom_site_label
_atom_site_fract_x
_atom_site_fract_y
_atom_site_fract_z
In1 0.0000 0.0000 0.0000
Fe1 0.0000 0.0000 0.6356
Fe2 0.5000 0.5000 0.7856
Br1 0.5000 0.5000 0.4441
```